A plane-wave DFT calculation with PBE was carried out for a geometry-optimized ScTa2TiCl structure.

Values from the calculation:
Spin magnetization, μB/cell: 0.02
Energy relative to the elements, uncorrected, eV/atom: 1.869

a b c (Å): 4.8481 4.8481 4.9464
angles (deg): 90.00 90.00 90.00
With the nearest neighbours (Å) after each atom.
Atoms (fractional coordinates):
1 Sc 0.0000 0.0000 0.0000  4 Ta 2.42, 2 Ti 2.47
2 Ta 0.0000 0.5000 0.0000  2 Sc 2.42
3 Ta 0.5000 0.0000 0.0000  2 Sc 2.42
4 Ti 0.0000 0.0000 0.5000  2 Sc 2.47
5 Cl 0.5000 0.5000 0.5000  4 Ti 3.43, 8 Ta 3.46

***

A plane-wave DFT calculation with PBE was carried out for a geometry-optimized Sc2TaWCl structure.

Values from the calculation:
Spin magnetization, μB/cell: 1.70
Energy relative to the elements, uncorrected, eV/atom: 1.275

a b c (Å): 5.2452 5.2452 4.4176
angles (deg): 90.00 90.00 90.00
With the nearest neighbours (Å) after each atom.
Atoms (fractional coordinates):
1 Sc 0.0000 0.5000 0.0000  2 W 2.62
2 Sc 0.5000 0.0000 0.0000  2 W 2.62
3 Ta 0.0000 0.0000 0.5000  8 Sc 3.43, 4 Cl 3.71
4 W 0.5000 0.5000 0.0000  2 Cl 2.21
5 Cl 0.5000 0.5000 0.5000  2 W 2.21

***

A plane-wave DFT calculation with PBE was carried out for a geometry-optimized Tb2ScCl structure.

Values from the calculation:
Spin magnetization, μB/cell: 0.00
Energy relative to the elements, uncorrected, eV/atom: -0.622

a b c (Å): 3.5432 3.5432 29.2582
angles (deg): 90.00 90.00 120.00
With the nearest neighbours (Å) after each atom.
Atoms (fractional coordinates):
1 Tb 0.0000 0.0000 0.2425  3 Cl 3.02, 3 Sc 3.35
2 Tb 0.0000 0.0000 0.7575  3 Cl 3.02, 3 Sc 3.35
3 Tb 0.3333 0.6667 0.4241  3 Cl 3.02, 3 Sc 3.35
4 Tb 0.3333 0.6667 0.9092  3 Cl 3.02, 3 Sc 3.35
5 Tb 0.6667 0.3333 0.0908  3 Cl 3.02, 3 Sc 3.35
6 Tb 0.6667 0.3333 0.5759  3 Cl 3.02, 3 Sc 3.35
7 Sc 0.0000 0.0000 0.0000  6 Tb 3.35, 6 Sc 3.54
8 Sc 0.3333 0.6667 0.6667  6 Tb 3.35, 6 Sc 3.54
9 Sc 0.6667 0.3333 0.3333  6 Tb 3.35, 6 Sc 3.54
10 Cl 0.0000 0.0000 0.5000  6 Tb 3.02
11 Cl 0.3333 0.6667 0.1667  6 Tb 3.02
12 Cl 0.6667 0.3333 0.8333  6 Tb 3.02

***

A plane-wave DFT calculation with PBE was carried out for a geometry-optimized Tb3ScCl structure.

Values from the calculation:
Spin magnetization, μB/cell: 0.00
Energy relative to the elements, uncorrected, eV/atom: -0.393

a b c (Å): 5.2330 5.2330 5.2330
angles (deg): 90.00 90.00 90.00
With the nearest neighbours (Å) after each atom.
Atoms (fractional coordinates):
1 Tb 0.0000 0.0000 0.5000  2 Cl 2.62
2 Tb 0.0000 0.5000 0.0000  2 Cl 2.62
3 Tb 0.5000 0.0000 0.0000  2 Cl 2.62
4 Sc 0.5000 0.5000 0.5000  12 Tb 3.70
5 Cl 0.0000 0.0000 0.0000  6 Tb 2.62

***

A plane-wave DFT calculation with PBE was carried out for a geometry-optimized TbScCl6 structure.

Values from the calculation:
Spin magnetization, μB/cell: 0.00
Energy relative to the elements, uncorrected, eV/atom: -2.161

a b c (Å): 6.4382 12.6822 6.4330
angles (deg): 90.00 106.49 90.00
With the nearest neighbours (Å) after each atom.
Atoms (fractional coordinates):
1 Tb 0.0000 0.0000 0.0000  6 Cl 2.65-2.67
2 Tb 0.5000 0.5000 0.0000  6 Cl 2.65-2.67
3 Sc 0.0000 0.5000 0.5000  6 Cl 2.50-2.51
4 Sc 0.5000 0.0000 0.5000  6 Cl 2.50-2.51
5 Cl 0.2353 0.3632 0.7364  1 Sc 2.51, 1 Tb 2.67
6 Cl 0.2353 0.6368 0.7364  1 Sc 2.51, 1 Tb 2.67
7 Cl 0.2435 0.5000 0.2577  1 Sc 2.50, 1 Tb 2.65
8 Cl 0.2565 0.0000 0.7423  1 Sc 2.50, 1 Tb 2.65
9 Cl 0.2647 0.1368 0.2636  1 Sc 2.51, 1 Tb 2.67
10 Cl 0.2647 0.8632 0.2636  1 Sc 2.51, 1 Tb 2.67
11 Cl 0.7353 0.1368 0.7364  1 Sc 2.51, 1 Tb 2.67
12 Cl 0.7353 0.8632 0.7364  1 Sc 2.51, 1 Tb 2.67
13 Cl 0.7435 0.0000 0.2577  1 Sc 2.50, 1 Tb 2.65
14 Cl 0.7565 0.5000 0.7423  1 Sc 2.50, 1 Tb 2.65
15 Cl 0.7647 0.3632 0.2636  1 Sc 2.51, 1 Tb 2.67
16 Cl 0.7647 0.6368 0.2636  1 Sc 2.51, 1 Tb 2.67

***

A plane-wave DFT calculation with PBE was carried out for a geometry-optimized TbScCl structure.

Values from the calculation:
Spin magnetization, μB/cell: 0.11
Energy relative to the elements, uncorrected, eV/atom: -0.863

a b c (Å): 3.5419 3.5419 6.7399
angles (deg): 90.00 90.00 120.00
With the nearest neighbours (Å) after each atom.
Atoms (fractional coordinates):
1 Tb 0.0000 0.0000 0.0000  3 Cl 3.03, 3 Sc 3.26
2 Sc 0.6667 0.3333 0.3763  3 Cl 2.84
3 Cl 0.3333 0.6667 0.6678  3 Sc 2.84, 3 Tb 3.03

***

A plane-wave DFT calculation with PBE was carried out for a geometry-optimized TbSc2Cl6 structure.

Values from the calculation:
Spin magnetization, μB/cell: 1.06
Energy relative to the elements, uncorrected, eV/atom: -1.729

a b c (Å): 7.9514 7.9514 7.9514
angles (deg): 49.61 49.61 49.61
With the nearest neighbours (Å) after each atom.
Atoms (fractional coordinates):
1 Tb 0.0000 0.0000 0.0000  6 Cl 2.72-2.73
2 Sc 0.5939 0.5939 0.5939  3 Cl 2.45
3 Sc 0.7390 0.7390 0.7390  3 Cl 2.46
4 Cl 0.1136 0.7580 0.3806  1 Sc 2.46, 1 Tb 2.72
5 Cl 0.2077 0.5948 0.9375  1 Sc 2.45, 1 Tb 2.73
6 Cl 0.3806 0.1136 0.7580  1 Sc 2.46, 1 Tb 2.72
7 Cl 0.5948 0.9375 0.2077  1 Sc 2.45, 1 Tb 2.73
8 Cl 0.7580 0.3806 0.1136  1 Sc 2.46, 1 Tb 2.72
9 Cl 0.9375 0.2077 0.5948  1 Sc 2.45, 1 Tb 2.73

***

A plane-wave DFT calculation with PBE was carried out for a geometry-optimized TbSc2Cl structure.

Values from the calculation:
Spin magnetization, μB/cell: 0.00
Energy relative to the elements, uncorrected, eV/atom: -0.285

a b c (Å): 3.4385 3.4385 28.5777
angles (deg): 90.00 90.00 120.00
With the nearest neighbours (Å) after each atom.
Atoms (fractional coordinates):
1 Tb 0.0000 0.0000 0.0000  2 Sc 3.14, 6 Tb 3.44
2 Tb 0.3333 0.6667 0.6667  2 Sc 3.14, 6 Tb 3.44
3 Tb 0.6667 0.3333 0.3333  2 Sc 3.14, 6 Tb 3.44
4 Sc 0.0000 0.0000 0.1098  3 Cl 2.56
5 Sc 0.0000 0.0000 0.8902  3 Cl 2.56
6 Sc 0.3333 0.6667 0.5568  3 Cl 2.56
7 Sc 0.3333 0.6667 0.7765  3 Cl 2.56
8 Sc 0.6667 0.3333 0.2235  3 Cl 2.56
9 Sc 0.6667 0.3333 0.4432  3 Cl 2.56
10 Cl 0.0000 0.0000 0.5000  6 Sc 2.56
11 Cl 0.3333 0.6667 0.1667  6 Sc 2.56
12 Cl 0.6667 0.3333 0.8333  6 Sc 2.56

***

A plane-wave DFT calculation with PBE was carried out for a geometry-optimized TbScCl3 structure.

Values from the calculation:
Spin magnetization, μB/cell: 0.00
Energy relative to the elements, uncorrected, eV/atom: -1.797

a b c (Å): 8.7307 8.7307 10.6994
angles (deg): 122.80 122.80 24.18
With the nearest neighbours (Å) after each atom.
Atoms (fractional coordinates):
1 Tb 0.1372 0.1372 0.2863  5 Cl 2.69-2.82
2 Tb 0.8628 0.8628 0.7137  5 Cl 2.69-2.82
3 Sc 0.4292 0.4292 0.0422  4 Cl 2.63-2.66
4 Sc 0.5708 0.5708 0.9578  4 Cl 2.63-2.66
5 Cl 0.0351 0.0351 0.7561  2 Sc 2.63, 1 Tb 2.72
6 Cl 0.2040 0.2040 0.1102  2 Sc 2.66, 1 Tb 2.69
7 Cl 0.3335 0.3335 0.4907  3 Tb 2.81-2.82
8 Cl 0.6665 0.6665 0.5093  3 Tb 2.81-2.82
9 Cl 0.7960 0.7960 0.8898  2 Sc 2.66, 1 Tb 2.69
10 Cl 0.9649 0.9649 0.2439  2 Sc 2.63, 1 Tb 2.72

***

A plane-wave DFT calculation with PBE was carried out for a geometry-optimized Sc2TcCl structure.

Values from the calculation:
Spin magnetization, μB/cell: 0.00
Energy relative to the elements, uncorrected, eV/atom: -0.096
Relative energy among the computed polymorphs, eV/atom: 0.709

a b c (Å): 6.6350 6.6350 6.6350
angles (deg): 90.00 90.00 90.00
With the nearest neighbours (Å) after each atom.
Atoms (fractional coordinates):
1 Sc 0.2500 0.2500 0.2500  4 Cl 2.87, 4 Tc 2.87
2 Sc 0.2500 0.2500 0.7500  4 Cl 2.87, 4 Tc 2.87
3 Sc 0.2500 0.7500 0.2500  4 Cl 2.87, 4 Tc 2.87
4 Sc 0.2500 0.7500 0.7500  4 Cl 2.87, 4 Tc 2.87
5 Sc 0.7500 0.2500 0.2500  4 Cl 2.87, 4 Tc 2.87
6 Sc 0.7500 0.2500 0.7500  4 Cl 2.87, 4 Tc 2.87
7 Sc 0.7500 0.7500 0.2500  4 Cl 2.87, 4 Tc 2.87
8 Sc 0.7500 0.7500 0.7500  4 Cl 2.87, 4 Tc 2.87
9 Tc 0.0000 0.0000 0.0000  8 Sc 2.87
10 Tc 0.0000 0.5000 0.5000  8 Sc 2.87
11 Tc 0.5000 0.0000 0.5000  8 Sc 2.87
12 Tc 0.5000 0.5000 0.0000  8 Sc 2.87
13 Cl 0.0000 0.0000 0.5000  8 Sc 2.87
14 Cl 0.0000 0.5000 0.0000  8 Sc 2.87
15 Cl 0.5000 0.0000 0.0000  8 Sc 2.87
16 Cl 0.5000 0.5000 0.5000  8 Sc 2.87

***

A plane-wave DFT calculation with PBE was carried out for a geometry-optimized Sc2TcCl structure.

Values from the calculation:
Spin magnetization, μB/cell: 0.00
Energy relative to the elements, uncorrected, eV/atom: -0.705
Relative energy among the computed polymorphs, eV/atom: 0.100

a b c (Å): 3.3205 3.3205 23.7584
angles (deg): 90.00 90.00 120.00
With the nearest neighbours (Å) after each atom.
Atoms (fractional coordinates):
1 Sc 0.0000 0.0000 0.2460  3 Tc 2.69, 3 Cl 2.83
2 Sc 0.0000 0.0000 0.7540  3 Tc 2.69, 3 Cl 2.83
3 Sc 0.3333 0.6667 0.4207  3 Tc 2.69, 3 Cl 2.83
4 Sc 0.3333 0.6667 0.9126  3 Tc 2.69, 3 Cl 2.83
5 Sc 0.6667 0.3333 0.0874  3 Tc 2.69, 3 Cl 2.83
6 Sc 0.6667 0.3333 0.5793  3 Tc 2.69, 3 Cl 2.83
7 Tc 0.0000 0.0000 0.5000  6 Sc 2.69
8 Tc 0.3333 0.6667 0.1667  6 Sc 2.69
9 Tc 0.6667 0.3333 0.8333  6 Sc 2.69
10 Cl 0.0000 0.0000 0.0000  6 Sc 2.83
11 Cl 0.3333 0.6667 0.6667  6 Sc 2.83
12 Cl 0.6667 0.3333 0.3333  6 Sc 2.83

***

A plane-wave DFT calculation with PBE was carried out for a geometry-optimized Sc2TcCl structure.

Values from the calculation:
Spin magnetization, μB/cell: 0.00
Energy relative to the elements, uncorrected, eV/atom: -0.726
Relative energy among the computed polymorphs, eV/atom: 0.079

a b c (Å): 4.3423 4.8666 7.3970
angles (deg): 90.00 90.00 90.00
With the nearest neighbours (Å) after each atom.
Atoms (fractional coordinates):
1 Sc 0.0000 0.0000 0.2081  4 Tc 2.66-2.88
2 Sc 0.0000 0.0000 0.7919  4 Tc 2.66-2.88
3 Sc 0.5000 0.5000 0.2081  4 Tc 2.66-2.88
4 Sc 0.5000 0.5000 0.7919  4 Tc 2.66-2.88
5 Tc 0.0000 0.5000 0.0000  8 Sc 2.66-2.88
6 Tc 0.5000 0.0000 0.0000  8 Sc 2.66-2.88
7 Cl 0.0000 0.5000 0.5000  8 Sc 3.06-3.25, 4 Cl 3.26
8 Cl 0.5000 0.0000 0.5000  8 Sc 3.06-3.25, 4 Cl 3.26

***

A plane-wave DFT calculation with PBE was carried out for a geometry-optimized ScTcCl structure.

Values from the calculation:
Spin magnetization, μB/cell: 1.18
Energy relative to the elements, uncorrected, eV/atom: -0.293
Relative energy among the computed polymorphs, eV/atom: 0.000

a b c (Å): 3.1786 3.1786 6.9788
angles (deg): 90.00 90.00 120.00
With the nearest neighbours (Å) after each atom.
Atoms (fractional coordinates):
1 Sc 0.0000 0.0000 0.0000  3 Cl 2.57, 3 Tc 2.72
2 Tc 0.6667 0.3333 0.2868  3 Sc 2.72
3 Cl 0.3333 0.6667 0.7423  3 Sc 2.57

***

A plane-wave DFT calculation with PBE was carried out for a geometry-optimized ScTc3Cl structure.

Values from the calculation:
Spin magnetization, μB/cell: 0.00
Energy relative to the elements, uncorrected, eV/atom: 0.643
Relative energy among the computed polymorphs, eV/atom: 0.000

a b c (Å): 4.3817 4.3817 4.3817
angles (deg): 90.00 90.00 90.00
With the nearest neighbours (Å) after each atom.
Atoms (fractional coordinates):
1 Sc 0.0000 0.0000 0.0000  12 Tc 3.10
2 Tc 0.0000 0.5000 0.5000  2 Cl 2.19
3 Tc 0.5000 0.0000 0.5000  2 Cl 2.19
4 Tc 0.5000 0.5000 0.0000  2 Cl 2.19
5 Cl 0.5000 0.5000 0.5000  6 Tc 2.19

***

A plane-wave DFT calculation with PBE was carried out for a geometry-optimized Sc2TcCl structure.

Values from the calculation:
Spin magnetization, μB/cell: 0.00
Energy relative to the elements, uncorrected, eV/atom: -0.122
Relative energy among the computed polymorphs, eV/atom: 0.683

a b c (Å): 3.4434 5.1208 9.8723
angles (deg): 90.00 90.00 90.00
With the nearest neighbours (Å) after each atom.
Atoms (fractional coordinates):
1 Sc 0.0000 0.0000 0.0000  2 Cl 2.49
2 Sc 0.0000 0.5000 0.2734  2 Tc 2.56
3 Sc 0.5000 0.0000 0.2734  2 Tc 2.56
4 Sc 0.5000 0.5000 0.0000  2 Cl 2.49
5 Tc 0.0000 0.0000 0.4654  2 Sc 2.56
6 Tc 0.5000 0.5000 0.4654  2 Sc 2.56
7 Cl 0.0000 0.5000 0.8184  2 Sc 2.49
8 Cl 0.5000 0.0000 0.8184  2 Sc 2.49